No. 1
# Tb4NiPd

An optimized crystal structure of Tb4NiPd (PBE, Alexandria).

Cell lengths 6.8688, 6.8688, 6.3414 Å; angles 90.00, 90.00, 90.00 degrees
Last column: nearest neighbours and their distance in Å.
Fractional positions:
1 Tb 0.1736 0.3129 0.0000  2 Ni 2.93, 2 Pd 3.03
2 Tb 0.1736 0.6871 0.5000  2 Ni 2.93, 2 Pd 3.03
3 Tb 0.3129 0.1736 0.5000  2 Ni 2.93, 2 Pd 3.03
4 Tb 0.3129 0.8264 0.0000  2 Ni 2.93, 2 Pd 3.03
5 Tb 0.6871 0.1736 0.0000  2 Ni 2.93, 2 Pd 3.03
6 Tb 0.6871 0.8264 0.5000  2 Ni 2.93, 2 Pd 3.03
7 Tb 0.8264 0.3129 0.5000  2 Ni 2.93, 2 Pd 3.03
8 Tb 0.8264 0.6871 0.0000  2 Ni 2.93, 2 Pd 3.03
9 Ni 0.0000 0.0000 0.2500  8 Tb 2.93, 2 Ni 3.17
10 Ni 0.0000 0.0000 0.7500  8 Tb 2.93, 2 Ni 3.17
11 Pd 0.5000 0.5000 0.2500  8 Tb 3.03, 2 Pd 3.17
12 Pd 0.5000 0.5000 0.7500  8 Tb 3.03, 2 Pd 3.17

energy relative to the elements	-37.7	kJ per mole of atoms

No. 2
# MnBeTe2

An optimized crystal structure of MnBeTe2 (PBE, Alexandria).

Cell lengths 4.6922, 4.6922, 7.5544 Å; angles 90.00, 90.00, 133.45 degrees
Last column: nearest neighbours and their distance in Å.
Fractional positions:
1 Mn 0.0000 0.0000 0.0000  4 Te 2.76
2 Be 0.0000 0.0000 0.5000  4 Te 2.54
3 Te 0.5000 0.5000 0.2702  2 Be 2.54, 2 Mn 2.76
4 Te 0.5000 0.5000 0.7298  2 Be 2.54, 2 Mn 2.76

E_form (uncorrected)	0.331	eV per atom

No. 3
# CaZrSn2

An optimized crystal structure of CaZrSn2 (PBE, Alexandria).

Cell lengths 7.8189, 7.8189, 7.8189 Å; angles 31.40, 31.40, 31.40 degrees
Last column: nearest neighbours and their distance in Å.
Fractional positions:
1 Ca 0.0000 0.0000 0.0000  6 Sn 3.21
2 Zr 0.5000 0.5000 0.5000  6 Sn 2.94
3 Sn 0.2399 0.2399 0.2399  3 Zr 2.94, 3 Ca 3.21
4 Sn 0.7601 0.7601 0.7601  3 Zr 2.94, 3 Ca 3.21

energy relative to the elements	-29.0	kJ per mole of atoms

No. 4
# Na2CdHg2Pd5

An optimized crystal structure of Na2CdHg2Pd5 (PBE, Alexandria).

Cell lengths 9.6681, 9.6681, 4.1749 Å; angles 90.00, 90.00, 90.00 degrees
Last column: nearest neighbours and their distance in Å.
Fractional positions:
1 Na 0.1702 0.3298 0.0000  3 Hg 2.74-2.92
2 Na 0.3298 0.8298 0.0000  3 Hg 2.74-2.92
3 Na 0.6702 0.1702 0.0000  3 Hg 2.74-2.92
4 Na 0.8298 0.6702 0.0000  3 Hg 2.74-2.92
5 Cd 0.0000 0.0000 0.0000  8 Pd 2.88
6 Cd 0.5000 0.5000 0.0000  8 Pd 2.88
7 Hg 0.1293 0.6293 0.0000  6 Pd 2.74-2.77, 3 Na 2.74-2.92
8 Hg 0.3707 0.1293 0.0000  6 Pd 2.74-2.77, 3 Na 2.74-2.92
9 Hg 0.6293 0.8707 0.0000  6 Pd 2.74-2.77, 3 Na 2.74-2.92
10 Hg 0.8707 0.3707 0.0000  6 Pd 2.74-2.77, 3 Na 2.74-2.92
11 Pd 0.0000 0.5000 0.5000  4 Hg 2.74, 4 Pd 3.00
12 Pd 0.0615 0.8043 0.5000  2 Hg 2.77, 3 Pd 2.81-3.00, 2 Cd 2.88
13 Pd 0.1957 0.0615 0.5000  2 Hg 2.77, 3 Pd 2.81-3.00, 2 Cd 2.88
14 Pd 0.3043 0.5615 0.5000  2 Hg 2.77, 3 Pd 2.81-3.00, 2 Cd 2.88
15 Pd 0.4385 0.3043 0.5000  2 Hg 2.77, 3 Pd 2.81-3.00, 2 Cd 2.88
16 Pd 0.5000 0.0000 0.5000  4 Hg 2.74, 4 Pd 3.00
17 Pd 0.5615 0.6957 0.5000  2 Hg 2.77, 3 Pd 2.81-3.00, 2 Cd 2.88
18 Pd 0.6957 0.4385 0.5000  2 Hg 2.77, 3 Pd 2.81-3.00, 2 Cd 2.88
19 Pd 0.8043 0.9385 0.5000  2 Hg 2.77, 3 Pd 2.81-3.00, 2 Cd 2.88
20 Pd 0.9385 0.1957 0.5000  2 Hg 2.77, 3 Pd 2.81-3.00, 2 Cd 2.88

energy relative to the elements	-17.8	kJ per mole of atoms

No. 5
# AgIr5

An optimized crystal structure of AgIr5 (PBE, Alexandria).

Cell lengths 4.5275, 7.3506, 7.3506 Å; angles 21.56, 90.00, 90.00 degrees
Last column: nearest neighbours and their distance in Å.
Fractional positions:
1 Ag 0.0000 0.0000 0.0000  2 Ag 2.75, 10 Ir 2.77-2.83
2 Ir 0.0000 0.3284 0.3284  10 Ir 2.67-2.78, 2 Ag 2.83
3 Ir 0.0000 0.6697 0.6697  10 Ir 2.67-2.78, 2 Ag 2.81
4 Ir 0.5000 0.1109 0.1109  10 Ir 2.75-2.82, 2 Ag 2.77
5 Ir 0.5000 0.4406 0.4406  8 Ir 2.71-2.82, 4 Ag 2.78
6 Ir 0.5000 0.7793 0.7793  12 Ir 2.71-2.79

energy relative to the elements	26.1	kJ per mole of atoms

No. 6
# Pu6In2O

An optimized crystal structure of Pu6In2O (PBE, Alexandria).

Cell lengths 6.6119, 9.7109, 6.7175 Å; angles 90.00, 90.73, 90.00 degrees
Last column: nearest neighbours and their distance in Å.
Fractional positions:
1 Pu 0.0000 0.2347 0.0000  1 O 2.28
2 Pu 0.0000 0.7653 0.0000  1 O 2.28
3 Pu 0.2401 0.5000 0.2451  1 O 2.41
4 Pu 0.2460 0.5000 0.7457  1 O 2.37
5 Pu 0.2771 0.0000 0.7795  1 O 2.37, 1 Pu 2.60
6 Pu 0.3376 0.0000 0.2906  1 Pu 2.60
7 Pu 0.5000 0.2436 0.5000  1 O 2.49
8 Pu 0.5000 0.7564 0.5000  1 O 2.49
9 Pu 0.6624 0.0000 0.7094  1 Pu 2.60
10 Pu 0.7229 0.0000 0.2205  1 O 2.37, 1 Pu 2.60
11 Pu 0.7540 0.5000 0.2543  1 O 2.37
12 Pu 0.7599 0.5000 0.7549  1 O 2.41
13 In 0.0000 0.2303 0.5000  12 Pu 3.31-3.52
14 In 0.0000 0.7697 0.5000  12 Pu 3.31-3.52
15 In 0.5000 0.2576 0.0000  12 Pu 3.25-3.36
16 In 0.5000 0.7424 0.0000  12 Pu 3.25-3.36
17 O 0.0000 0.0000 0.0000  4 Pu 2.28-2.37
18 O 0.5000 0.5000 0.5000  6 Pu 2.37-2.49

E_form (uncorrected)	-0.459	eV per atom

No. 7
# Cs3Cd6As5

An optimized crystal structure of Cs3Cd6As5 (PBE, Alexandria).

Cell lengths 4.6184, 14.4754, 12.3081 Å; angles 90.00, 90.00, 90.00 degrees
Last column: nearest neighbours and their distance in Å.
Fractional positions:
1 Cs 0.2500 0.1089 0.2468  6 As 3.63-3.89, 7 Cd 3.69-4.01
2 Cs 0.2500 0.3911 0.2468  6 As 3.63-3.89, 7 Cd 3.69-4.01
3 Cs 0.2500 0.7500 0.2533  10 Cd 3.61-4.03, 6 As 3.61-3.69
4 Cs 0.7500 0.2500 0.7467  10 Cd 3.61-4.03, 6 As 3.61-3.69
5 Cs 0.7500 0.6089 0.7532  6 As 3.63-3.89, 7 Cd 3.69-4.01
6 Cs 0.7500 0.8911 0.7532  6 As 3.63-3.89, 7 Cd 3.69-4.01
7 Cd 0.2500 0.0513 0.6150  4 As 2.78-2.95
8 Cd 0.2500 0.2500 0.5007  4 As 3.04, 2 Cd 3.20
9 Cd 0.2500 0.2500 0.9724  4 As 2.73-2.96
10 Cd 0.2500 0.4487 0.6150  4 As 2.78-2.95
11 Cd 0.2500 0.5788 0.0171  4 As 2.81-2.98
12 Cd 0.2500 0.9212 0.0171  4 As 2.81-2.98
13 Cd 0.7500 0.0788 0.9829  4 As 2.81-2.98
14 Cd 0.7500 0.4212 0.9829  4 As 2.81-2.98
15 Cd 0.7500 0.5513 0.3850  4 As 2.78-2.95
16 Cd 0.7500 0.7500 0.0276  4 As 2.73-2.96
17 Cd 0.7500 0.7500 0.4993  4 As 3.04, 2 Cd 3.20
18 Cd 0.7500 0.9487 0.3850  4 As 2.78-2.95
19 As 0.2500 0.0727 0.8533  5 Cd 2.81-2.98
20 As 0.2500 0.4273 0.8533  5 Cd 2.81-2.98
21 As 0.2500 0.6139 0.4994  5 Cd 2.78-3.04
22 As 0.2500 0.7500 0.9088  4 Cd 2.73-2.81
23 As 0.2500 0.8861 0.4994  5 Cd 2.78-3.04
24 As 0.7500 0.1139 0.5006  5 Cd 2.78-3.04
25 As 0.7500 0.2500 0.0912  4 Cd 2.73-2.81
26 As 0.7500 0.3861 0.5006  5 Cd 2.78-3.04
27 As 0.7500 0.5727 0.1467  5 Cd 2.81-2.98
28 As 0.7500 0.9273 0.1467  5 Cd 2.81-2.98

energy relative to the elements	-24.7	kJ per mole of atoms

No. 8
# AcSmGaSb

An optimized crystal structure of AcSmGaSb (PBE, Alexandria).

Cell lengths 5.5205, 5.5205, 5.5205 Å; angles 60.00, 60.00, 60.00 degrees
Last column: nearest neighbours and their distance in Å.
Fractional positions:
1 Ac 0.0000 0.0000 0.0000  4 Ga 3.38, 4 Sb 3.38
2 Sm 0.5000 0.5000 0.5000  4 Ga 3.38, 4 Sb 3.38
3 Ga 0.7500 0.7500 0.7500  4 Ac 3.38, 4 Sm 3.38
4 Sb 0.2500 0.2500 0.2500  4 Sm 3.38, 4 Ac 3.38

E_form (uncorrected)	-0.581	eV per atom

Quick rundown of density of states at the Fermi level, same order as above: 8.81, 0.69, 1.99, 3.53, 6.53, 36.66, 1.39, 4.21 states/eV/f.u.
Quick rundown of energy, same order as above: -5.31, -4.46, -4.94, -3.20, -7.59, -11.17, -2.49, -4.58 eV per atom
Quick rundown of calculated volume, same order as above: 299.2, 120.7, 115.2, 390.2, 89.9, 431.3, 822.8, 119.0 Å³/cell